4
Lattice="3.540 0.000 0.000 0.000 5.270 0.000 0.000 0.000 5.867" Properties=species:S:1:pos:R:3 comment="MnTl2Br, relaxed, DFT PBE" total_energy_ha_per_atom=-0.1364 space_group="Pmmm, No. 47" raw_formation_energy_mev_per_atom=181.6 relative_energy_mev_per_atom=197.6 pbc="T T T"
Mn 0.000 0.000 0.000
Tl 0.000 2.635 2.934
Tl 1.770 2.635 0.000
Br 1.770 0.000 2.934

---

6
Lattice="4.487 0.000 0.000 -2.244 3.886 0.000 0.000 0.000 6.536" Properties=species:S:1:pos:R:3 comment="DyZnGa2Au2, relaxed, DFT PBE" total_energy_ha_per_atom=-0.1309 space_group="P-3m1, No. 164" formation_energy_mev_per_atom=-481.5 pbc="T T T"
Dy 0.000 0.000 0.000
Zn 0.000 0.000 3.268
Ga 0.000 2.591 1.727
Ga 2.244 1.295 4.809
Au 0.000 2.591 4.685
Au 2.244 1.295 1.851

---

10
Lattice="6.373 0.000 0.000 0.000 6.373 0.000 0.000 0.000 4.219" Properties=species:S:1:pos:R:3 comment="ZnAg2Rh2, relaxed, DFT PBE" total_energy_ha_per_atom=-0.1503 space_group="P4/mbm, No. 127" formation_energy_mev_per_atom=247.1 pbc="T T T"
Zn 0.000 0.000 0.000
Zn 3.186 3.186 0.000
Ag 1.069 2.117 2.109
Ag 2.117 5.304 2.109
Ag 4.255 1.069 2.109
Ag 5.304 4.255 2.109
Rh 0.870 4.056 0.000
Rh 2.316 0.870 0.000
Rh 4.056 5.502 0.000
Rh 5.502 2.316 0.000

---

4
Lattice="5.231 0.000 0.000 0.000 5.231 0.000 0.000 0.000 3.381" Properties=species:S:1:pos:R:3 comment="InTcCl2, relaxed, DFT PBE" total_energy_ha_per_atom=-0.1415 space_group="P4/mmm, No. 123" raw_formation_energy_mev_per_atom=349.5 relative_energy_mev_per_atom=631.7 pbc="T T T"
In 0.000 0.000 0.000
Tc 2.615 2.615 0.000
Cl 0.000 2.615 1.690
Cl 2.615 0.000 1.690

---

12
Lattice="11.138 0.000 0.000 -5.569 9.646 0.000 0.000 0.000 3.469" Properties=species:S:1:pos:R:3 comment="DyY2Er9, relaxed, DFT PBE" total_energy_ha_per_atom=-0.1772 space_group="P6/mmm, No. 191" formation_energy_mev_per_atom=61.8 relative_energy_mev_per_atom=36.7 pbc="T T T"
Dy 0.000 0.000 0.000
Y 0.000 6.430 0.000
Y 5.569 3.215 0.000
Er -2.784 4.823 0.000
Er 0.000 3.394 1.734
Er -2.630 7.949 1.734
Er 2.939 1.697 1.734
Er 5.569 0.000 0.000
Er 2.784 4.823 0.000
Er 2.630 7.949 1.734
Er 8.199 1.697 1.734
Er 5.569 6.252 1.734

---

4
Lattice="3.655 0.000 0.000 0.000 3.655 0.000 0.000 0.000 8.146" Properties=species:S:1:pos:R:3 comment="CaThTlAu, relaxed, DFT PBE" total_energy_ha_per_atom=-0.1563 space_group="P4mm, No. 99" formation_energy_mev_per_atom=-486.1 relative_energy_mev_per_atom=0.0 pbc="T T T"
Ca 0.000 0.000 0.000
Th 0.000 0.000 3.744
Tl 1.828 1.828 6.001
Au 1.828 1.828 1.893

---

12
Lattice="6.555 -3.588 0.000 6.555 3.588 0.000 -0.279 0.000 7.795" Properties=species:S:1:pos:R:3 comment="La3PmInNi, relaxed, DFT PBE" total_energy_ha_per_atom=-0.1794 space_group="C2/m, No. 12" formation_energy_mev_per_atom=-205.0 pbc="T T T"
La 4.742 1.910 4.558
La 2.590 0.000 6.810
La 8.088 1.910 3.237
La 4.742 -1.910 4.558
La 10.241 0.000 0.985
La 8.088 -1.910 3.237
Pm 6.555 1.729 0.000
Pm 6.555 -1.729 0.000
In 4.446 0.000 1.893
In 8.385 0.000 5.902
Ni 0.182 0.000 5.454
Ni 12.648 0.000 2.341

---

8
Lattice="4.814 0.000 0.000 0.000 4.902 0.000 -2.403 0.000 10.931" Properties=species:S:1:pos:R:3 comment="LaHo2Tl, relaxed, DFT PBE" total_energy_ha_per_atom=-0.1578 space_group="P2_1/m, No. 11" formation_energy_mev_per_atom=-182.5 relative_energy_mev_per_atom=0.0 pbc="T T T"
La 0.005 1.226 4.192
La 2.405 3.677 6.739
Ho 0.003 3.677 1.210
Ho 0.002 3.677 9.570
Ho 2.409 1.226 1.361
Ho 2.407 1.226 9.721
Tl 0.000 1.226 7.448
Tl 2.411 3.677 3.483